Model a:
! PBE-GGA Tm4AgSb, relaxed; values from VASP
! Symmetry: No. 109
&SYSTEM
  ibrav = 0, nat = 12, ntyp = 3
/
ATOMIC_SPECIES
Tm 168.93 Tm.upf
Ag 107.87 Ag.upf
Sb 121.76 Sb.upf
CELL_PARAMETERS angstrom
-3.877 -6.065 -3.618
7.592 0.937 -2.528
0.264 -1.660 7.879
ATOMIC_POSITIONS crystal
Tm 0.822 0.012 0.809
Tm 0.238 0.527 0.289
Tm 0.238 0.949 0.711
Tm 0.277 0.488 0.789
Tm 0.762 0.453 0.691
Tm 0.203 0.012 0.191
Tm 0.699 0.488 0.211
Tm 0.762 0.072 0.309
Ag 0.009 0.509 0.500
Ag 0.259 0.259 0.000
Sb 0.739 0.739 0.000
Sb 0.489 0.989 0.500

***

Model b:
! PBE-GGA Tm4AgSb, relaxed; values from VASP
! Symmetry: No. 216
&SYSTEM
  ibrav = 0, nat = 24, ntyp = 3
/
ATOMIC_SPECIES
Tm 168.93 Tm.upf
Ag 107.87 Ag.upf
Sb 121.76 Sb.upf
CELL_PARAMETERS angstrom
-8.909 -3.022 2.418
-2.718 -9.127 -1.912
-1.172 -6.341 7.264
ATOMIC_POSITIONS crystal
Tm 0.937 0.937 0.563
Tm 0.563 0.937 0.937
Tm 0.937 0.563 0.937
Tm 0.184 0.816 0.816
Tm 0.816 0.184 0.184
Tm 0.816 0.816 0.184
Tm 0.372 0.372 0.372
Tm 0.184 0.184 0.816
Tm 0.816 0.184 0.816
Tm 0.372 0.372 0.885
Tm 0.372 0.885 0.372
Tm 0.937 0.563 0.563
Tm 0.885 0.372 0.372
Tm 0.563 0.563 0.937
Tm 0.563 0.937 0.563
Tm 0.184 0.816 0.184
Ag 0.156 0.156 0.531
Ag 0.156 0.531 0.156
Ag 0.531 0.156 0.156
Ag 0.156 0.156 0.156
Sb 0.209 0.597 0.597
Sb 0.597 0.597 0.597
Sb 0.597 0.209 0.597
Sb 0.597 0.597 0.209

***

Stability check: which of them is most stable? model b.

***

Model a:
! PBE-GGA VAg3Sb, relaxed; values from VASP
! Symmetry: No. 221
&SYSTEM
  ibrav = 0, nat = 5, ntyp = 3
/
ATOMIC_SPECIES
Ag 107.87 Ag.upf
Sb 121.76 Sb.upf
V 50.94 V.upf
CELL_PARAMETERS angstrom
-4.506 -0.136 2.530
2.480 -1.292 4.348
0.518 5.004 1.192
ATOMIC_POSITIONS crystal
Ag 0.500 0.000 0.000
Ag 0.000 0.500 0.000
Ag 0.000 0.000 0.500
Sb 0.000 0.000 0.000
V 0.500 0.500 0.500

***

Model b:
! PBE-GGA VAg3Sb, relaxed; values from VASP
! Symmetry: No. 221
&SYSTEM
  ibrav = 0, nat = 5, ntyp = 3
/
ATOMIC_SPECIES
Ag 107.87 Ag.upf
Sb 121.76 Sb.upf
V 50.94 V.upf
CELL_PARAMETERS angstrom
-1.145 4.816 0.633
-0.769 -0.821 4.862
4.796 1.018 0.931
ATOMIC_POSITIONS crystal
Ag 0.000 0.000 0.500
Ag 0.000 0.500 0.000
Ag 0.500 0.000 0.000
Sb 0.500 0.500 0.500
V 0.000 0.000 0.000

***

Stability check: which of them is most stable? model a.

***

Model a:
! PBE-GGA AgSb2W, relaxed; values from VASP
! Symmetry: No. 35
&SYSTEM
  ibrav = 0, nat = 4, ntyp = 3
/
ATOMIC_SPECIES
W 183.84 W.upf
Ag 107.87 Ag.upf
Sb 121.76 Sb.upf
CELL_PARAMETERS angstrom
2.993 0.026 0.000
-0.619 2.928 0.000
0.000 0.000 10.351
ATOMIC_POSITIONS crystal
W 0.000 0.000 0.514
Ag 0.500 0.500 0.722
Sb 0.500 0.500 0.311
Sb 0.000 0.000 0.953

***

Model b:
! PBE-GGA AgSb2W, relaxed; values from VASP
! Symmetry: No. 12
&SYSTEM
  ibrav = 0, nat = 4, ntyp = 3
/
ATOMIC_SPECIES
Sb 121.76 Sb.upf
W 183.84 W.upf
Ag 107.87 Ag.upf
CELL_PARAMETERS angstrom
-2.906 0.380 -3.808
-3.221 -2.639 -2.398
-4.782 1.737 2.650
ATOMIC_POSITIONS crystal
Sb 0.480 0.480 0.530
Sb 0.020 0.020 0.970
W 0.750 0.750 0.750
Ag 0.250 0.250 0.250

***

Model c:
! PBE-GGA AgSb2W, relaxed; values from VASP
! Symmetry: No. 65
&SYSTEM
  ibrav = 0, nat = 4, ntyp = 3
/
ATOMIC_SPECIES
Ag 107.87 Ag.upf
W 183.84 W.upf
Sb 121.76 Sb.upf
CELL_PARAMETERS angstrom
3.122 0.005 0.000
-0.979 2.965 0.000
0.000 0.000 9.342
ATOMIC_POSITIONS crystal
Ag 0.500 0.500 0.750
W 0.500 0.500 0.250
Sb 0.000 0.000 0.478
Sb 0.000 0.000 0.022

***

Model d:
! PBE-GGA AgSb2W, relaxed; values from VASP
! Symmetry: No. 47
&SYSTEM
  ibrav = 0, nat = 4, ntyp = 3
/
ATOMIC_SPECIES
Sb 121.76 Sb.upf
W 183.84 W.upf
Ag 107.87 Ag.upf
CELL_PARAMETERS angstrom
-2.659 -2.246 -0.229
2.168 -2.971 3.974
-2.265 2.375 3.011
ATOMIC_POSITIONS crystal
Sb 0.500 0.500 0.000
Sb 0.000 0.000 0.000
W 0.500 0.000 0.500
Ag 0.000 0.500 0.500

***

Stability check: which of them is most stable? model a.

***

Model a:
! PBE-GGA YAg2Sb2, relaxed; values from VASP
! Symmetry: No. 139
&SYSTEM
  ibrav = 0, nat = 5, ntyp = 3
/
ATOMIC_SPECIES
Ag 107.87 Ag.upf
Sb 121.76 Sb.upf
Y 88.91 Y.upf
CELL_PARAMETERS angstrom
4.594 0.000 0.000
0.000 4.594 0.000
2.297 2.297 6.014
ATOMIC_POSITIONS crystal
Ag 0.608 0.608 0.785
Ag 0.392 0.392 0.215
Sb 0.250 0.750 0.500
Sb 0.750 0.250 0.500
Y 0.000 0.000 0.000

***

Model b:
! PBE-GGA YAg2Sb2, relaxed; values from VASP
! Symmetry: No. 127
&SYSTEM
  ibrav = 0, nat = 10, ntyp = 3
/
ATOMIC_SPECIES
Sb 121.76 Sb.upf
Y 88.91 Y.upf
Ag 107.87 Ag.upf
CELL_PARAMETERS angstrom
8.312 0.000 0.000
0.000 8.312 0.000
0.000 0.000 3.511
ATOMIC_POSITIONS crystal
Sb 0.836 0.664 0.000
Sb 0.336 0.836 0.000
Sb 0.164 0.336 0.000
Sb 0.664 0.164 0.000
Y 0.500 0.500 0.000
Y 0.000 0.000 0.000
Ag 0.634 0.866 0.500
Ag 0.134 0.634 0.500
Ag 0.866 0.366 0.500
Ag 0.366 0.134 0.500

***

Model c:
! PBE-GGA YAg2Sb2, relaxed; values from VASP
! Symmetry: No. 139
&SYSTEM
  ibrav = 0, nat = 5, ntyp = 3
/
ATOMIC_SPECIES
Sb 121.76 Sb.upf
Y 88.91 Y.upf
Ag 107.87 Ag.upf
CELL_PARAMETERS angstrom
4.088 0.000 0.000
0.000 4.088 0.000
2.044 2.044 7.332
ATOMIC_POSITIONS crystal
Sb 0.607 0.607 0.786
Sb 0.393 0.393 0.214
Y 0.000 0.000 0.000
Ag 0.250 0.750 0.500
Ag 0.750 0.250 0.500

***

Stability check: which of them is most stable? model c.

***

Model a:
! PBE-GGA YAg2Sb2, relaxed; values from VASP
! Symmetry: No. 127
&SYSTEM
  ibrav = 0, nat = 10, ntyp = 3
/
ATOMIC_SPECIES
Sb 121.76 Sb.upf
Y 88.91 Y.upf
Ag 107.87 Ag.upf
CELL_PARAMETERS angstrom
-5.699 -3.765 -4.291
4.470 0.829 -6.663
1.599 -3.189 0.675
ATOMIC_POSITIONS crystal
Sb 0.815 0.315 0.500
Sb 0.185 0.685 0.500
Sb 0.315 0.185 0.500
Sb 0.685 0.815 0.500
Y 0.500 0.500 0.000
Y 0.000 0.000 0.000
Ag 0.881 0.619 0.000
Ag 0.619 0.119 0.000
Ag 0.119 0.381 0.000
Ag 0.381 0.881 0.000

***

Model b:
! PBE-GGA YAg2Sb2, relaxed; values from VASP
! Symmetry: No. 63
&SYSTEM
  ibrav = 0, nat = 10, ntyp = 3
/
ATOMIC_SPECIES
Ag 107.87 Ag.upf
Sb 121.76 Sb.upf
Y 88.91 Y.upf
CELL_PARAMETERS angstrom
-4.003 1.712 -0.431
-1.754 -3.955 0.577
1.542 1.108 12.286
ATOMIC_POSITIONS crystal
Ag 0.540 0.250 0.080
Ag 0.960 0.250 0.920
Ag 0.040 0.750 0.080
Ag 0.460 0.750 0.920
Sb 0.750 0.250 0.500
Sb 0.250 0.750 0.500
Sb 0.883 0.750 0.765
Sb 0.117 0.250 0.235
Y 0.651 0.750 0.302
Y 0.349 0.250 0.698

***

Stability check: which of them is most stable? model b.

***

Model a:
! PBE-GGA Y2AgSb2, relaxed; values from VASP
! Symmetry: No. 127
&SYSTEM
  ibrav = 0, nat = 10, ntyp = 3
/
ATOMIC_SPECIES
Sb 121.76 Sb.upf
Y 88.91 Y.upf
Ag 107.87 Ag.upf
CELL_PARAMETERS angstrom
8.046 0.000 0.000
0.000 8.046 0.000
0.000 0.000 4.129
ATOMIC_POSITIONS crystal
Sb 0.654 0.154 0.000
Sb 0.346 0.846 0.000
Sb 0.154 0.346 0.000
Sb 0.846 0.654 0.000
Y 0.655 0.845 0.500
Y 0.845 0.345 0.500
Y 0.155 0.655 0.500
Y 0.345 0.155 0.500
Ag 0.000 0.000 0.000
Ag 0.500 0.500 0.000

***

Model b:
! PBE-GGA Y2AgSb2, relaxed; values from VASP
! Symmetry: No. 127
&SYSTEM
  ibrav = 0, nat = 10, ntyp = 3
/
ATOMIC_SPECIES
Sb 121.76 Sb.upf
Y 88.91 Y.upf
Ag 107.87 Ag.upf
CELL_PARAMETERS angstrom
-3.559 -5.755 4.908
7.300 -1.193 3.894
-0.943 2.829 2.634
ATOMIC_POSITIONS crystal
Sb 0.844 0.344 0.500
Sb 0.156 0.656 0.500
Sb 0.344 0.156 0.500
Sb 0.656 0.844 0.500
Y 0.350 0.850 0.000
Y 0.650 0.150 0.000
Y 0.150 0.350 0.000
Y 0.850 0.650 0.000
Ag 0.500 0.500 0.000
Ag 0.000 0.000 0.000

***

Stability check: which of them is most stable? model a.